(1)
PmHoAlHg | GGA-PBE | relaxed

abc: 7.447 7.447 7.447
angles: 90.00 90.00 90.00
Space group F-43m (No. 216)
Asymmetric unit:
Pm 0.000 0.000 0.000 x4
Ho 0.000 0.000 0.500 x4
Al 0.250 0.250 0.250 x4
Hg 0.250 0.250 0.750 x4

Summary:
As for the energy above the most stable polymorph in this dataset: 0.17 eV per formula unit. Its energy of formation from the pure elements is -0.39 eV per atom. As for the mass density: 8.644 g cm⁻³. As for the total energy: -14.93 eV per formula unit. Its density of states at the Fermi level is 4.6 states/eV/f.u. As for the total magnetization: 0.0 μB per cell.

(2)
ZrNbI | GGA-PBE | relaxed

abc: 5.039 14.834 3.560
angles: 90.00 90.00 90.00
Space group Cmcm (No. 63)
Asymmetric unit:
Zr 0.000 0.241 0.250 x4
Nb 0.000 0.077 0.750 x4
I 0.000 0.398 0.750 x4

Summary:
Its uncorrected formation energy is 93 kJ/mol of formula units. As for the mass density: 7.765 g cm⁻³. As for the total energy: -19.20 eV per formula unit. Its density of states at the Fermi level is 3.1 states/eV/f.u. As for the total magnetization: 0.0 μB per cell.

(3)
ErAl2Bi | GGA-PBE | relaxed

abc: 4.595 4.595 4.391
angles: 90.00 90.00 90.00
Space group P4/mmm (No. 123)
Asymmetric unit:
Er 0.000 0.000 0.000 x1
Al 0.000 0.500 0.500 x2
Bi 0.500 0.500 0.000 x1

Summary:
Its energy of formation from the pure elements is -0.23 eV per atom. As for the mass density: 7.706 g cm⁻³. As for the total energy: -16.84 eV per formula unit. Its density of states at the Fermi level is 1.3 states/eV/f.u. As for the total magnetization: 0.0 μB per cell.

(4)
Hf2Sc2Ag | GGA-PBE | relaxed

abc: 3.204 3.204 21.164
angles: 90.00 90.00 90.00
Space group I4/mmm (No. 139)
Asymmetric unit:
Hf 0.000 0.000 0.199 x4
Sc 0.000 0.000 0.407 x4
Ag 0.000 0.000 0.000 x2

Summary:
As for the energy above the most stable polymorph in this dataset: 0.00 eV per formula unit. Its energy of formation from the pure elements is -0.08 eV per atom. As for the mass density: 8.480 g cm⁻³. As for the total energy: -35.84 eV per formula unit. Its density of states at the Fermi level is 7.9 states/eV/f.u. As for the total magnetization: 0.0 μB per cell.

(5)
LaCeHo6 | GGA-PBE | relaxed

abc: 5.024 5.024 10.047
angles: 90.00 90.00 90.00
Space group P4/mmm (No. 123)
Asymmetric unit:
La 0.000 0.000 0.000 x1
Ce 0.000 0.000 0.500 x1
Ho 0.000 0.500 0.256 x4
Ho 0.500 0.500 0.000 x1
Ho 0.500 0.500 0.500 x1

Summary:
As for the energy above the most stable polymorph in this dataset: 0.00 eV per formula unit. Its energy of formation from the pure elements is 0.05 eV per atom. As for the mass density: 8.308 g cm⁻³. As for the total energy: -37.94 eV per formula unit. Its density of states at the Fermi level is 12.9 states/eV/f.u. As for the total magnetization: 0.8 μB per cell.

(6)
Sr2Au | GGA-PBE | relaxed

abc: 8.6785 8.6785 4.8644
angles: 90.00 90.00 120.00
Space group P-62m (No. 189)
Asymmetric unit:
Sr 0.0000 0.2577 0.0000 x3
Sr 0.0000 0.5923 0.5000 x3
Au 0.0000 0.0000 0.5000 x1
Au 0.3333 0.6667 0.0000 x2

Summary:
Its energy of formation from the pure elements is -0.53 eV per atom. As for the mass density: 5.844 g cm⁻³. As for the total energy: -8.22 eV per formula unit. Its density of states at the Fermi level is 2.6 states/eV/f.u. As for the total magnetization: 0.0 μB per cell.

(7)
CoAs4 | GGA-PBE | relaxed

abc: 4.588 4.588 4.588
angles: 90.00 90.00 90.00
Space group Pm-3m (No. 221)
Asymmetric unit:
Co 0.000 0.000 0.000 x1
As 0.000 0.000 0.500 x3
As 0.500 0.500 0.500 x1

Summary:
As for the energy above the most stable polymorph in this dataset: 0.00 eV per formula unit. Its energy of formation from the pure elements is 0.47 eV per atom. As for the mass density: 6.168 g cm⁻³. As for the total energy: -23.35 eV per formula unit. Its density of states at the Fermi level is 4.6 states/eV/f.u. As for the total magnetization: 0.0 μB per cell.

(8)
Pa2FeCuN5 | GGA-PBE | relaxed

abc: 3.295 14.183 8.629
angles: 90.00 90.00 90.00
Space group Cmcm (No. 63)
Asymmetric unit:
Pa 0.000 0.130 0.027 x8
Fe 0.000 0.225 0.750 x4
Cu 0.000 0.488 0.250 x4
N 0.000 0.089 0.750 x4
N 0.000 0.285 0.109 x8
N 0.000 0.367 0.750 x4
N 0.000 0.500 0.000 x4

Summary:
Its uncorrected formation energy is -649 kJ/mol of formula units. As for the mass density: 10.732 g cm⁻³. As for the total energy: -79.90 eV per formula unit. Its density of states at the Fermi level is 4.5 states/eV/f.u. As for the total magnetization: 3.0 μB per cell.

(9)
Tm5TcPd2 | GGA-PBE | relaxed

abc: 7.183 11.730 4.460
angles: 90.00 90.00 90.00
Space group Pbam (No. 55)
Asymmetric unit:
Tm 0.000 0.000 0.000 x2
Tm 0.154 0.291 0.000 x4
Tm 0.180 0.588 0.500 x4
Tc 0.000 0.500 0.000 x2
Pd 0.067 0.840 0.500 x4

Summary:
Its energy of formation from the pure elements is -0.49 eV per atom. As for the mass density: 10.212 g cm⁻³. As for the total energy: -47.04 eV per formula unit. Its density of states at the Fermi level is 6.7 states/eV/f.u. As for the total magnetization: 0.0 μB per cell.

(10)
TiCd2Te | GGA-PBE | relaxed

abc: 8.395 8.395 5.609
angles: 90.00 90.00 90.00
Space group I-42d (No. 122)
Asymmetric unit:
Ti 0.000 0.000 0.000 x4
Cd 0.242 0.250 0.125 x8
Te 0.000 0.000 0.500 x4

Summary:
Its uncorrected formation energy is 53 kJ/mol of formula units. As for the mass density: 6.727 g cm⁻³. As for the total energy: -12.32 eV per formula unit. Its density of states at the Fermi level is 4.0 states/eV/f.u. As for the total magnetization: 5.5 μB per cell.

(11)
Pa2GaCo3Ge4 | GGA-PBE | relaxed

abc: 4.042 4.042 10.007
angles: 90.00 90.00 90.00
Space group P-4m2 (No. 115)
Asymmetric unit:
Pa 0.000 0.500 0.239 x2
Ga 0.000 0.000 0.500 x1
Co 0.000 0.500 0.873 x2
Co 0.500 0.500 0.500 x1
Ge 0.000 0.000 0.000 x1
Ge 0.000 0.500 0.645 x2
Ge 0.500 0.500 0.000 x1

Summary:
Its energy of formation from the pure elements is -0.47 eV per atom. As for the mass density: 10.149 g cm⁻³. As for the total energy: -66.49 eV per formula unit. Its density of states at the Fermi level is 5.6 states/eV/f.u. As for the total magnetization: 0.0 μB per cell.

(12)
LiReSe2 | GGA-PBE | relaxed

abc: 3.282 3.282 6.699
angles: 90.00 90.00 90.00
Space group P4mm (No. 99)
Asymmetric unit:
Li 0.000 0.000 0.000 x1
Re 0.500 0.500 0.245 x1
Se 0.000 0.000 0.414 x1
Se 0.500 0.500 0.875 x1

Summary:
As for the energy above the most stable polymorph in this dataset: 0.49 eV per formula unit. Its uncorrected formation energy is -46 kJ/mol of formula units. As for the mass density: 8.080 g cm⁻³. As for the total energy: -21.81 eV per formula unit. Its density of states at the Fermi level is 2.5 states/eV/f.u. As for the total magnetization: 0.0 μB per cell.

(13)
LiAc5Sn6 | GGA-PBE | relaxed

abc: 10.651 16.154 5.214
angles: 90.00 119.23 90.00
Space group C2/m (No. 12)
Asymmetric unit:
Li 0.000 0.000 0.000 x2
Ac 0.000 0.150 0.500 x4
Ac 0.000 0.329 0.000 x4
Ac 0.000 0.500 0.500 x2
Sn 0.249 0.000 0.749 x4
Sn 0.249 0.164 0.249 x8

Summary:
Its energy of formation from the pure elements is -0.56 eV per atom. As for the mass density: 7.865 g cm⁻³. As for the total energy: -53.19 eV per formula unit. Its density of states at the Fermi level is 8.2 states/eV/f.u. As for the total magnetization: 0.0 μB per cell.